Density functional theory data (GGA-PBE) for a relaxed PaCo8B4 crystal.

Results
density of states at the Fermi level: 1.03 states/eV/atom
space group: I4/mmm, No. 139
E_tot: -95.25 eV/f.u.
crystal system: tetragonal
total magnetization: 0.00 μB per atom
DFT formation energy: -211.8 kJ/mol of formula units

Cell lengths 4.4339, 5.8012, 5.8012 Å; angles 81.60, 67.53, 67.53 degrees
Sites, in units of the cell vectors:
Co 0.0000 0.3408 0.6592
B 0.5000 0.5000 0.0000
Co 0.5000 0.2290 0.7710
Co 0.3408 0.6592 0.6592
B 0.0000 0.5000 0.0000
Co 0.0000 0.6592 0.3408
Co 0.6592 0.3408 0.3408
Co 0.5000 0.7710 0.2290
B 0.0000 0.0000 0.5000
Co 0.7290 0.7710 0.7710
B 0.5000 0.0000 0.5000
Co 0.2710 0.2290 0.2290
Pa 0.0000 0.0000 0.0000